Entry from Alexandria via LeMat-Bulk: crystalline TlReAs at its relaxed geometry (PBE-GGA).

Cell: 3.1976 3.1976 6.7643 Å, 90.00 90.00 120.00°
Space group P3m1 (No. 156)
Asymmetric unit:
1 Tl 0.0000 0.0000 0.0000 x1
2 Re 0.3333 0.6667 0.6504 x1
3 As 0.6667 0.3333 0.4072 x1

Computed properties:
- D(E_F): 0.468 states/eV per atom
- Spin magnetization: 0.000 μB/cell
- E_form: 0.3925 eV per atom



Entry from Alexandria via LeMat-Bulk: crystalline KIrPdCl6 at its relaxed geometry (PBE-GGA).

Cell: 6.4573 6.4573 6.9756 Å, 90.00 90.00 120.00°
Space group P312 (No. 149)
Asymmetric unit:
1 K 0.0000 0.0000 0.0000 x1
2 Ir 0.3333 0.6667 0.5000 x1
3 Pd 0.6667 0.3333 0.5000 x1
4 Cl 0.0232 0.3744 0.3083 x6

Computed properties:
- Spin magnetization: 1.976 μB/cell
- Raw formation energy: -760.2 meV per atom



Entry from Alexandria via LeMat-Bulk: crystalline PmHfTh at its relaxed geometry (PBE-GGA).

Cell: 3.3701 19.7906 5.1632 Å, 90.00 90.00 90.00°
Space group Cmcm (No. 63)
Asymmetric unit:
1 Pm 0.0000 0.0428 0.2500 x4
2 Hf 0.0000 0.3733 0.2500 x4
3 Th 0.0000 0.2055 0.2500 x4

Computed properties:
- D(E_F): 1.187 states/eV per atom
- Spin magnetization: 0.000 μB/cell
- E_form: 0.1656 eV per atom



Entry from Alexandria via LeMat-Bulk: crystalline Tl3I4 at its relaxed geometry (PBE-GGA).

Cell: 10.0140 10.0140 24.2793 Å, 90.00 90.00 120.00°
Space group R-3m (No. 166, hexagonal axes)
Asymmetric unit:
1 Tl 0.0000 0.0000 0.0000 x3
2 Tl 0.0000 0.0000 0.3758 x6
3 Tl 0.0000 0.5000 0.5000 x9
4 I 0.0000 0.0000 0.2481 x6
5 I 0.0062 0.5031 0.7499 x18

Computed properties:
- D(E_F): 0.555 states/eV per atom
- Spin magnetization: 0.000 μB/cell
- Raw formation energy: -503.8 meV per atom



Entry from Alexandria via LeMat-Bulk: crystalline NaMoH2 at its relaxed geometry (PBE-GGA).

Cell: 5.0613 5.0613 6.7319 Å, 90.00 90.00 90.00°
Space group I-42d (No. 122)
Asymmetric unit:
1 Na 0.0000 0.0000 0.0000 x4
2 Mo 0.0000 0.0000 0.5000 x4
3 H 0.2007 0.2500 0.6250 x8

Computed properties:
- D(E_F): 0.345 states/eV per atom
- Spin magnetization: 0.000 μB/cell
- DFT total energy: -4.43 eV per atom



Entry from Alexandria via LeMat-Bulk: crystalline InNi2MoC at its relaxed geometry (PBE-GGA).

Cell: 3.9361 3.9361 4.1521 Å, 90.00 90.00 90.00°
Space group P4/mmm (No. 123)
Asymmetric unit:
1 In 0.0000 0.0000 0.0000 x1
2 Ni 0.0000 0.5000 0.5000 x2
3 Mo 0.5000 0.5000 0.0000 x1
4 C 0.5000 0.5000 0.5000 x1

Computed properties:
- D(E_F): 1.046 states/eV per atom
- Spin magnetization: 0.001 μB/cell
- E_form: 0.0365 eV per atom



Entry from Alexandria via LeMat-Bulk: crystalline Ce2PmRe at its relaxed geometry (PBE-GGA).

Cell: 3.4326 3.4326 8.9000 Å, 90.00 90.00 90.00°
Space group P4/mmm (No. 123)
Asymmetric unit:
1 Ce 0.0000 0.0000 0.1963 x2
2 Pm 0.5000 0.5000 0.5000 x1
3 Re 0.5000 0.5000 0.0000 x1

Computed properties:
- D(E_F): 2.260 states/eV per atom
- Spin magnetization: 0.001 μB/cell
- E_form: 0.1492 eV per atom



Entry from Alexandria via LeMat-Bulk: crystalline Rb3Cd2S4 at its relaxed geometry (PBE-GGA).

Cell: 17.5272 4.4120 7.8154 Å, 90.00 114.36 90.00°
Space group C2/m (No. 12)
Asymmetric unit:
1 Rb 0.0000 0.0000 0.0000 x2
2 Rb 0.1300 0.0000 0.5373 x4
3 Cd 0.1687 0.5000 0.9580 x4
4 S 0.0213 0.5000 0.7031 x4
5 S 0.2111 0.0000 0.1649 x4

Computed properties:
- D(E_F): 0.146 states/eV per atom
- Spin magnetization: 2.004 μB/cell
- Raw formation energy: -805.3 meV per atom



Entry from Alexandria via LeMat-Bulk: crystalline CsK2TlSn at its relaxed geometry (PBE-GGA).

Cell: 6.9233 6.9233 5.9694 Å, 90.00 90.00 90.00°
Space group P4/mmm (No. 123)
Asymmetric unit:
1 Cs 0.0000 0.0000 0.0000 x1
2 K 0.0000 0.5000 0.5000 x2
3 Tl 0.5000 0.5000 0.0000 x1
4 Sn 0.5000 0.5000 0.5000 x1

Computed properties:
- D(E_F): 0.632 states/eV per atom
- Spin magnetization: 0.232 μB/cell
- E_form: -0.0207 eV per atom



Entry from Alexandria via LeMat-Bulk: crystalline SiGeAuS at its relaxed geometry (PBE-GGA).

Cell: 3.7901 3.7256 5.3756 Å, 90.00 91.21 90.00°
Space group Pm (No. 6)
Asymmetric unit:
1 Si 0.0000 0.0000 0.0000 x1
2 Ge 0.4705 0.5000 0.4531 x1
3 Au 0.5005 0.5000 0.9525 x1
4 S 0.0182 0.0000 0.4188 x1

Computed properties:
- D(E_F): 0.322 states/eV per atom
- Spin magnetization: 0.000 μB/cell
- Raw formation energy: -74.9 meV per atom



Entry from Alexandria via LeMat-Bulk: crystalline Ac8OsPt4 at its relaxed geometry (PBE-GGA).

Cell: 8.7909 8.7909 21.1229 Å, 90.00 90.00 120.00°
Space group R-3m (No. 166, hexagonal axes)
Asymmetric unit:
1 Ac 0.0000 0.0000 0.2425 x6
2 Ac 0.0124 0.5062 0.7507 x18
3 Os 0.0000 0.0000 0.0000 x3
4 Pt 0.0000 0.0000 0.5000 x3
5 Pt 0.0000 0.5000 0.5000 x9

Computed properties:
- D(E_F): 0.650 states/eV per atom
- Spin magnetization: 0.000 μB/cell
- E_form: -0.7410 eV per atom



Entry from Alexandria via LeMat-Bulk: crystalline CdCu at its relaxed geometry (PBE-GGA).

Cell: 5.3516 5.3516 5.3516 Å, 90.00 90.00 90.00°
Space group Fm-3m (No. 225)
Asymmetric unit:
1 Cd 0.0000 0.0000 0.0000 x4
2 Cu 0.0000 0.0000 0.5000 x4

Computed properties:
- D(E_F): 0.471 states/eV per atom
- Spin magnetization: 0.000 μB/cell
- E_form: 0.3540 eV per atom